Na2MgUF8: optimized geometry, PBE-GGA.

Computed properties:
Total DFT energy (no corrections)   -5.782 eV per atom
Theoretical density   4672 kg/m³
ΔE_f (raw)   -3753 kJ/mol of formula units

```
12
Lattice="4.025 -0.152 -0.002 -0.119 5.497 -0.006 0.005 0.008 7.401" Properties=species:S:1:pos:R:3 pbc="T T T"
F 0.135 4.239 1.870
F 3.776 1.114 5.523
F 0.137 4.243 5.521
F 1.990 4.137 3.695
F 3.773 1.110 1.872
F 1.575 1.150 -0.002
F 1.920 1.216 3.698
F 2.336 4.203 7.395
Na 1.954 2.674 1.616
Na 1.956 2.679 5.777
U 0.002 0.004 3.701
Mg 0.000 0.000 0.000
```